(1)
Entry from Alexandria: LaInH8Rh2 after structural relaxation (PBE).

raw total energy	-4.252	eV per atom
space-group type	R-3m, No. 166
total magnetization	0.0	Bohr magnetons per cell
crystal system	trigonal

```
12
Lattice="2.3641 1.3649 5.8082 -2.3641 1.3649 5.8082 0.0000 -2.7298 5.8082" Properties=species:S:1:pos:R:3 pbc="T T T"
La 0.0000 0.0000 0.0000
In 0.0000 0.0000 8.7122
H -1.0824 -0.6249 7.0135
H 0.0000 0.0000 5.5233
H 0.0000 -1.2498 10.4110
H -1.0824 0.6249 10.4110
H 1.0824 -0.6249 7.0135
H 0.0000 1.2498 7.0135
H 0.0000 0.0000 11.9012
H 1.0824 0.6249 10.4110
Rh 0.0000 0.0000 3.8639
Rh 0.0000 0.0000 13.5605
```



(2)
Entry from Alexandria: CaPmTa2O8 after structural relaxation (PBE).

formation energy without anion corrections	-2.907	eV per atom
space-group type	I-4, No. 82
total magnetization	1.1	Bohr magnetons per cell
crystal system	tetragonal

```
12
Lattice="-2.6744 2.6744 5.6343 2.6744 -2.6744 5.6343 2.6744 2.6744 -5.6343" Properties=species:S:1:pos:R:3 pbc="T T T"
Ca 0.0000 0.0000 0.0000
Pm 2.6744 0.0000 2.8171
Ta 0.0000 0.0000 5.6343
Ta 0.0000 2.6744 2.8171
O 1.3828 0.9376 -1.8048
O 1.2899 -0.9193 4.6024
O 1.7551 1.3846 1.0318
O 1.7368 -1.2916 7.4390
O 1.3846 3.5938 -1.0318
O 1.2916 1.7368 3.8295
O 0.9193 1.2899 6.6661
O 0.9376 3.9661 1.8048
```